No. 1
Entry from Alexandria: a relaxed structure of CuNi12Sn4H3 (GGA-PBE).

Cell lengths 7.766, 7.766, 7.766 Å; angles 90.00, 90.00, 90.00 degrees
Space group Im-3m (No. 229)
Unique sites:
Cu: 0.000 0.000 0.000 [2 per cell]
Ni: 0.000 0.000 0.289 [12 per cell]
Ni: 0.000 0.250 0.500 [12 per cell]
Sn: 0.250 0.250 0.250 [8 per cell]
H: 0.000 0.000 0.500 [6 per cell]

VASP energy, eV/cell: -201.5



No. 2
Entry from Alexandria: a relaxed structure of AlNiRu (GGA-PBE).

Cell lengths 8.027, 4.710, 4.888 Å; angles 90.00, 122.70, 90.00 degrees
Space group C2 (No. 5)
Unique sites:
Al: 0.168 0.000 0.494 [4 per cell]
Ni: 0.000 0.325 0.000 [2 per cell]
Ni: 0.000 0.474 0.500 [2 per cell]
Ru: 0.165 0.814 0.993 [4 per cell]

Energy relative to the elements, kcal/mol of atoms: -7.23
VASP energy, eV/cell: -79.0



No. 3
Entry from Alexandria: a relaxed structure of KLiFe2 (GGA-PBE).

Cell lengths 8.201, 2.842, 7.712 Å; angles 90.00, 94.84, 90.00 degrees
Space group Cm (No. 8)
Unique sites:
K: 0.000 0.000 0.000 [2 per cell]
Li: 0.223 0.000 0.614 [2 per cell]
Fe: 0.265 0.500 0.344 [2 per cell]
Fe: 0.488 0.000 0.398 [2 per cell]

Offset from the most stable computed form, meV/atom: 121.7
Energy relative to the elements, kcal/mol of atoms: 15.34
VASP energy, eV/cell: -34.6



- Look up the VASP energy of the second one.
  -79.0 eV/cell



- Which formula does entry 1 have?
  CuNi12Sn4H3



- Among the records above, which one has the highest VASP energy?
  KLiFe2



- Which of these has the highest VASP energy?
  KLiFe2